1.
Entry from Alexandria: a relaxed structure of MgAgSe (PBE-GGA).

Lattice parameters (Å, degrees): 4.5703 4.5703 4.5703 60.00 60.00 60.00
Last column: nearest neighbours and their distance in Å.
Positions (direct):
Ag1 0.5000 0.5000 0.5000  4 Mg 2.80
Mg1 0.7500 0.7500 0.7500  4 Se 2.80, 4 Ag 2.80
Se1 0.0000 0.0000 0.0000  4 Mg 2.80

Values from the calculation:
Space-group type: No. 216
ρ: 5.19 g cm⁻³
Relative energy among the computed polymorphs: 0.168 eV/atom
Formation energy without anion corrections: -27 kJ per mole of atoms

---

2.
Entry from Alexandria: a relaxed structure of La3PbO (PBE-GGA).

Lattice parameters (Å, degrees): 18.2345 7.0808 7.0808 149.23 140.10 39.90
Last column: nearest neighbours and their distance in Å.
Positions (direct):
Pb1 0.8587 0.0380 0.9620  6 La 3.32-3.59
Pb2 0.1413 0.9620 0.0380  6 La 3.32-3.59
O1 0.6081 0.0730 0.9270  5 La 2.50-2.61
O2 0.3919 0.9270 0.0730  5 La 2.50-2.61
La1 0.3789 0.5612 0.4388  2 O 2.50
La2 0.6211 0.4388 0.5612  2 O 2.50
La3 0.1193 0.2481 0.7519  1 O 3.04
La4 0.8807 0.7519 0.2481  1 O 3.04
La5 0.6283 0.6758 0.3242  3 O 2.54-2.61
La6 0.3717 0.3242 0.6758  3 O 2.54-2.61

Values from the calculation:
Space-group type: No. 12
ρ: 7.50 g cm⁻³
Formation energy without anion corrections: -123 kJ per mole of atoms

---

3.
Entry from Alexandria: a relaxed structure of Mn2VHRh (PBE-GGA).

Lattice parameters (Å, degrees): 3.7591 3.7591 3.7665 90.00 90.00 90.00
Last column: nearest neighbours and their distance in Å.
Positions (direct):
H1 0.0000 0.0000 0.0000  4 Mn 1.88, 2 Rh 1.88
Mn1 0.0000 0.5000 0.0000  2 H 1.88
Mn2 0.5000 0.0000 0.0000  2 H 1.88
Rh1 0.0000 0.0000 0.5000  2 H 1.88
V1 0.5000 0.5000 0.5000  4 Rh 2.66, 8 Mn 2.66

Values from the calculation:
Space-group type: No. 123
ρ: 8.26 g cm⁻³
Relative energy among the computed polymorphs: 0.000 eV/atom

---

4.
Entry from Alexandria: a relaxed structure of Ca2HfZrO6 (PBE-GGA).

Lattice parameters (Å, degrees): 5.6169 5.7985 8.0573 90.00 90.03 90.00
Last column: nearest neighbours and their distance in Å.
Positions (direct):
Ca1 0.0130 0.9503 0.2501  4 O 2.35-2.47
Ca2 0.5130 0.5497 0.7501  4 O 2.35-2.47
Ca3 0.9870 0.0497 0.7499  4 O 2.35-2.47
Ca4 0.4870 0.4503 0.2499  4 O 2.35-2.47
Hf1 0.5000 0.0000 0.5000  6 O 2.09-2.10
Hf2 0.0000 0.5000 0.0000  6 O 2.09-2.10
Zr1 0.5000 0.0000 0.0000  6 O 2.12-2.13
Zr2 0.0000 0.5000 0.5000  6 O 2.12-2.13
O1 0.2994 0.6991 0.0558  1 Hf 2.09, 1 Zr 2.13
O2 0.7994 0.8009 0.5558  1 Hf 2.09, 1 Zr 2.13
O3 0.7006 0.3009 0.9442  1 Hf 2.09, 1 Zr 2.13
O4 0.2006 0.1991 0.4442  1 Hf 2.09, 1 Zr 2.13
O5 0.3037 0.7029 0.4436  1 Hf 2.10, 1 Zr 2.12
O6 0.8037 0.7971 0.9436  1 Hf 2.10, 1 Zr 2.12
O7 0.6963 0.2971 0.5564  1 Hf 2.10, 1 Zr 2.12
O8 0.1963 0.2029 0.0564  1 Hf 2.10, 1 Zr 2.12
O9 0.8942 0.5400 0.2479  1 Hf 2.10, 1 Zr 2.13, 1 Ca 2.35
O10 0.3942 0.9600 0.7479  1 Hf 2.10, 1 Zr 2.13, 1 Ca 2.35
O11 0.1058 0.4600 0.7521  1 Hf 2.10, 1 Zr 2.13, 1 Ca 2.35
O12 0.6058 0.0400 0.2521  1 Hf 2.10, 1 Zr 2.13, 1 Ca 2.35

Values from the calculation:
Space-group type: No. 14
ρ: 5.64 g cm⁻³
Relative energy among the computed polymorphs: 0.000 eV/atom
Formation energy without anion corrections: -321 kJ per mole of atoms

---

5.
Entry from Alexandria: a relaxed structure of SrMg2InH (PBE-GGA).

Lattice parameters (Å, degrees): 4.7793 4.7793 4.8469 90.00 90.00 90.00
Last column: nearest neighbours and their distance in Å.
Positions (direct):
Sr1 0.0000 0.0000 0.5000  2 H 2.42
Mg1 0.0000 0.5000 0.0000  2 H 2.39
Mg2 0.5000 0.0000 0.0000  2 H 2.39
H1 0.0000 0.0000 0.0000  4 Mg 2.39, 2 Sr 2.42
In1 0.5000 0.5000 0.5000  4 Sr 3.38, 8 Mg 3.40

Values from the calculation:
Total energy: -0.0866 Ha/atom
Space-group type: No. 123
ρ: 3.78 g cm⁻³

---

6.
Entry from Alexandria: a relaxed structure of LaSm6Cd5 (PBE-GGA).

Lattice parameters (Å, degrees): 5.4014 7.8622 9.4498 114.58 106.61 90.00
Last column: nearest neighbours and their distance in Å.
Positions (direct):
Cd1 0.6556 0.1556 0.3112  8 Sm 3.34-3.40, 2 La 3.71
Cd2 0.3297 0.3297 0.6594  8 Sm 3.28-3.29
Cd3 0.0000 0.5000 0.0000  8 Sm 3.23-3.39
Cd4 0.6703 0.6703 0.3406  8 Sm 3.28-3.29
Cd5 0.3444 0.8444 0.6888  8 Sm 3.34-3.40, 2 La 3.71
Sm1 0.8272 0.5672 0.6544  7 Cd 3.28-3.40, 1 La 3.48
Sm2 0.8272 0.0872 0.6544  7 Cd 3.28-3.40, 1 La 3.48
Sm3 0.5000 0.7246 0.0000  6 Cd 3.23-3.34, 2 La 3.46, 1 Sm 3.53
Sm4 0.5000 0.2754 0.0000  6 Cd 3.23-3.34, 2 La 3.46, 1 Sm 3.53
Sm5 0.1728 0.9128 0.3456  7 Cd 3.28-3.40, 1 La 3.48
Sm6 0.1728 0.4328 0.3456  7 Cd 3.28-3.40, 1 La 3.48
La1 0.0000 0.0000 0.0000  8 Sm 3.46-3.48, 4 Cd 3.71

Values from the calculation:
Total energy: -0.1235 Ha/atom
Space-group type: No. 71
ρ: 7.68 g cm⁻³

---

Which formula does entry 4 have? Ca2HfZrO6

---

Which value of ρ does entry 5 give? 3.78 g cm⁻³